Record 1
The following is a DFT calculation (PBE) of a relaxed structure of RbOsNO.

Structure (extended XYZ):
```
8
Lattice="3.295 0.000 0.000 0.000 6.413 0.000 0.000 0.000 6.691" Properties=species:S:1:pos:R:3 pbc="T T T"
O 1.648 5.113 5.733
O 1.648 1.906 0.957
Rb 0.000 3.412 2.542
Rb 0.000 0.205 4.148
Os 1.648 6.410 0.566
Os 1.648 3.204 6.124
N 0.000 2.725 5.332
N 0.000 5.932 1.358
```

## Properties
- energy relative to the lowest polymorph listed for this composition (eV/atom) = 0.165
- size of the total moment (μB/f.u.) = 0.0
- calculated volume (Å³ per atom) = 17.67

Record 2
The following is a DFT calculation (PBE) of a relaxed structure of RbOsNO.

Structure (extended XYZ):
```
8
Lattice="-1.893 2.632 -1.948 -5.430 -2.299 2.169 0.329 3.928 4.987" Properties=species:S:1:pos:R:3 pbc="T T T"
N -1.299 1.511 3.304
N -4.043 0.015 3.948
O -3.444 1.248 1.359
O -6.002 1.975 4.826
Os -5.212 0.211 5.348
Os -2.588 0.275 2.885
Rb -3.432 3.380 4.229
Rb -0.929 1.995 -0.073
```

## Properties
- energy relative to the lowest polymorph listed for this composition (eV/atom) = 0.058
- size of the total moment (μB/f.u.) = 0.0
- calculated volume (Å³ per atom) = 18.88

Record 3
The following is a DFT calculation (PBE) of a relaxed structure of RbOsNO.

Structure (extended XYZ):
```
8
Lattice="3.080 -3.095 0.000 3.080 3.095 0.000 0.000 0.000 7.950" Properties=species:S:1:pos:R:3 pbc="T T T"
Os 4.620 0.000 0.579
Os 1.540 0.000 7.371
O 3.080 -1.547 0.000
O 3.080 1.547 0.000
Rb 3.080 -1.547 3.975
Rb 3.080 1.547 3.975
N 1.540 0.000 5.621
N 4.620 0.000 2.329
```

## Properties
- energy relative to the lowest polymorph listed for this composition (eV/atom) = 0.887
- size of the total moment (μB/f.u.) = 1.7
- calculated volume (Å³ per atom) = 18.94

Record 4
The following is a DFT calculation (PBE) of a relaxed structure of ReOsNO.

Structure (extended XYZ):
```
8
Lattice="-2.119 -1.789 -0.151 3.042 -3.829 2.673 -2.016 1.958 5.099" Properties=species:S:1:pos:R:3 pbc="T T T"
Re -1.317 -0.704 1.289
Re -0.878 -1.567 5.362
O 0.015 -2.301 1.519
O -0.098 -2.628 6.988
N -0.448 0.163 4.362
N 1.848 -2.504 3.737
Os 0.621 -1.004 3.178
Os 1.671 -2.460 5.706
```

## Properties
- energy relative to the lowest polymorph listed for this composition (eV/atom) = 0.096
- size of the total moment (μB/f.u.) = 0.0
- calculated volume (Å³ per atom) = 11.26

Record 5
The following is a DFT calculation (PBE) of a relaxed structure of ReOsNO.

Structure (extended XYZ):
```
16
Lattice="-0.833 -4.947 -1.910 4.344 1.407 -5.538 3.828 -1.643 2.586" Properties=species:S:1:pos:R:3 pbc="T T T"
O 4.884 -0.999 -1.188
O 2.735 -1.572 -3.019
O 4.361 -3.507 -2.007
O 2.212 -4.080 -3.838
N 2.626 -1.385 0.173
N 5.119 -2.916 -4.491
N 0.547 -1.549 -1.501
N 3.040 -3.080 -6.165
Re 0.994 -2.910 -2.872
Re 2.760 -4.610 -1.918
Re 4.800 -1.611 -3.033
Re 3.034 0.089 -3.987
Os 7.072 -2.751 -3.810
Os 1.449 -2.940 -0.254
Os 4.775 -4.202 -5.980
Os 3.746 -1.489 1.916
```

## Properties
- energy relative to the lowest polymorph listed for this composition (eV/atom) = 0.000
- size of the total moment (μB/f.u.) = 0.0
- calculated volume (Å³ per atom) = 11.81

Record 6
The following is a DFT calculation (PBE) of a relaxed structure of ReOsNO.

Structure (extended XYZ):
```
16
Lattice="5.622 0.000 0.000 0.000 6.844 0.000 0.000 0.000 4.908" Properties=species:S:1:pos:R:3 pbc="T T T"
O 2.165 3.438 1.490
O 3.457 3.406 3.945
O 4.976 3.406 1.490
O 0.646 3.438 3.945
N 3.527 5.667 2.272
N 2.095 1.176 4.726
N 4.906 5.667 4.726
N 0.716 1.176 2.272
Re 0.656 0.011 3.925
Re 2.155 0.011 1.471
Re 3.467 6.833 3.925
Re 4.967 6.833 1.471
Os 4.834 2.219 3.122
Os 3.599 2.219 0.668
Os 0.788 4.625 0.668
Os 2.023 4.625 3.122
```

## Properties
- energy relative to the lowest polymorph listed for this composition (eV/atom) = 0.053
- size of the total moment (μB/f.u.) = 0.0
- calculated volume (Å³ per atom) = 11.80

Record 7
The following is a DFT calculation (PBE) of a relaxed structure of ReOsNO.

Structure (extended XYZ):
```
8
Lattice="3.826 0.000 0.000 0.000 3.826 0.000 0.000 0.000 5.978" Properties=species:S:1:pos:R:3 pbc="T T T"
O 0.957 2.870 0.000
O 2.870 0.957 0.000
Os 0.957 0.957 0.930
Os 2.870 2.870 5.047
N 0.957 0.957 3.850
N 2.870 2.870 2.128
Re 2.870 0.957 2.989
Re 0.957 2.870 2.989
```

## Properties
- energy relative to the lowest polymorph listed for this composition (eV/atom) = 0.685
- size of the total moment (μB/f.u.) = 0.0
- calculated volume (Å³ per atom) = 10.94

Record 8
The following is a DFT calculation (PBE) of a relaxed structure of ReOsNO.

Structure (extended XYZ):
```
8
Lattice="5.602 0.000 0.000 0.000 2.752 0.000 0.000 0.000 5.872" Properties=species:S:1:pos:R:3 pbc="T T T"
O 2.341 1.376 0.647
O 5.142 1.376 5.225
N 1.736 0.000 4.044
N 4.537 0.000 1.828
Re 2.571 0.000 2.238
Re 5.372 0.000 3.634
Os 3.179 1.376 4.517
Os 0.378 1.376 1.355
```

## Properties
- energy relative to the lowest polymorph listed for this composition (eV/atom) = 0.052
- size of the total moment (μB/f.u.) = 0.0
- calculated volume (Å³ per atom) = 11.32

Record 9
The following is a DFT calculation (PBE) of a relaxed structure of ReOsNO.

Structure (extended XYZ):
```
8
Lattice="3.774 0.000 0.000 0.000 3.774 0.000 0.000 0.000 6.095" Properties=species:S:1:pos:R:3 pbc="T T T"
N 2.830 2.830 2.016
N 0.943 0.943 4.079
Os 0.943 2.830 3.047
Os 2.830 0.943 3.047
Re 2.830 2.830 5.101
Re 0.943 0.943 0.994
O 0.943 2.830 0.000
O 2.830 0.943 0.000
```

## Properties
- energy relative to the lowest polymorph listed for this composition (eV/atom) = 0.785
- size of the total moment (μB/f.u.) = 1.0
- calculated volume (Å³ per atom) = 10.85

Record 10
The following is a DFT calculation (PBE) of a relaxed structure of SmOsNO.

Structure (extended XYZ):
```
8
Lattice="3.837 0.000 0.000 0.000 3.837 0.000 0.000 0.000 7.786" Properties=species:S:1:pos:R:3 pbc="T T T"
Sm 0.000 1.919 6.583
Sm 1.919 0.000 1.203
N 1.919 0.000 4.832
N 0.000 1.919 2.955
O 1.919 1.919 0.000
O 0.000 0.000 0.000
Os 0.000 0.000 3.893
Os 1.919 1.919 3.893
```

## Properties
- energy relative to the lowest polymorph listed for this composition (eV/atom) = 0.189
- size of the total moment (μB/f.u.) = 0.0
- calculated volume (Å³ per atom) = 14.33

Record 11
The following is a DFT calculation (PBE) of a relaxed structure of SmOsNO.

Structure (extended XYZ):
```
16
Lattice="-2.716 -4.178 -2.427 3.476 -5.565 5.688 -3.653 0.687 2.904" Properties=species:S:1:pos:R:3 pbc="T T T"
Os 1.427 -7.996 4.440
Os -3.212 -1.267 0.845
Os -1.158 -8.819 5.215
Os -0.628 -0.445 0.070
O 0.245 -3.376 4.381
O -2.444 -4.358 5.063
O -1.745 -4.453 2.134
O -4.434 -5.436 2.815
N -2.609 -0.829 2.715
N -0.335 -8.217 3.492
N -1.504 -6.861 5.532
N -1.441 -2.184 0.675
Sm -1.106 -3.116 6.389
Sm -3.582 -3.414 3.345
Sm -0.547 -5.408 3.804
Sm -3.023 -5.707 0.761
```

## Properties
- energy relative to the lowest polymorph listed for this composition (eV/atom) = 0.000
- size of the total moment (μB/f.u.) = 0.0
- calculated volume (Å³ per atom) = 14.19

Record 12
The following is a DFT calculation (PBE) of a relaxed structure of SmOsNO.

Structure (extended XYZ):
```
8
Lattice="3.838 0.000 0.000 0.000 3.838 0.000 0.000 0.000 7.792" Properties=species:S:1:pos:R:3 pbc="T T T"
Sm 2.879 2.879 6.587
Sm 0.960 0.960 1.205
N 2.879 2.879 2.961
N 0.960 0.960 4.831
Os 0.960 2.879 3.896
Os 2.879 0.960 3.896
O 2.879 0.960 0.000
O 0.960 2.879 0.000
```

## Properties
- energy relative to the lowest polymorph listed for this composition (eV/atom) = 0.189
- size of the total moment (μB/f.u.) = 0.0
- calculated volume (Å³ per atom) = 14.35